1.
VASP calculation (GGA-PBEsol) on an optimized crystal structure of Tc2HgP.

a b c (Å): 4.3512 4.3512 4.3512
angles (deg): 60.00 60.00 60.00
Element x y z (fractional)
Hg: 0.5000 0.5000 0.5000
Tc: 0.2500 0.2500 0.2500
Tc: 0.7500 0.7500 0.7500
P: 0.0000 0.0000 0.0000

Computed properties:
**Energy above the most stable polymorph in this dataset**: 0.344 eV/atom
**Energy of formation**: 0.396 eV/atom

---

2.
VASP calculation (GGA-PBEsol) on an optimized crystal structure of TcHgP2.

a b c (Å): 2.9492 2.9492 9.6043
angles (deg): 81.17 81.17 60.00
Element x y z (fractional)
Tc: 0.5000 0.5000 0.5000
P: 0.2270 0.2270 0.3191
P: 0.7730 0.7730 0.6809
Hg: 0.0000 0.0000 0.0000

Computed properties:
**Energy of formation**: -0.102 eV/atom

---

3.
VASP calculation (GGA-PBEsol) on an optimized crystal structure of Tc2HgP.

a b c (Å): 2.8726 2.8726 8.2500
angles (deg): 90.00 90.00 116.13
Element x y z (fractional)
Tc: 0.0000 0.0000 0.2056
Tc: 0.0000 0.0000 0.7944
P: 0.5000 0.5000 0.0000
Hg: 0.5000 0.5000 0.5000

Computed properties:
**Energy above the most stable polymorph in this dataset**: 0.148 eV/atom
**Energy of formation**: 0.199 eV/atom

---

4.
VASP calculation (GGA-PBEsol) on an optimized crystal structure of TcHgP2.

a b c (Å): 3.0287 3.0287 7.7890
angles (deg): 90.00 90.00 90.00
Element x y z (fractional)
P: 0.5000 0.5000 0.4292
P: 0.0000 0.0000 0.0152
Tc: 0.0000 0.0000 0.2979
Hg: 0.5000 0.5000 0.7577

Computed properties:
**Energy of formation**: 0.049 eV/atom

---

5.
VASP calculation (GGA-PBEsol) on an optimized crystal structure of Tc2HgP.

a b c (Å): 3.2734 3.5766 6.7026
angles (deg): 106.96 90.00 117.23
Element x y z (fractional)
Tc: 0.9495 0.8990 0.8308
Tc: 0.7075 0.4150 0.1696
P: 0.3262 0.6525 0.9976
Hg: 0.5168 0.0335 0.5020

Computed properties:
**Energy above the most stable polymorph in this dataset**: 0.025 eV/atom
**Energy of formation**: 0.077 eV/atom

---

6.
VASP calculation (GGA-PBEsol) on an optimized crystal structure of Tc2HgP.

a b c (Å): 3.5522 3.5522 6.4032
angles (deg): 73.90 73.90 60.00
Element x y z (fractional)
P: 0.0000 0.0000 0.0000
Tc: 0.7218 0.7218 0.8347
Tc: 0.2782 0.2782 0.1653
Hg: 0.5000 0.5000 0.5000

Computed properties:
**Energy above the most stable polymorph in this dataset**: 0.000 eV/atom
**Energy of formation**: 0.052 eV/atom

---

7.
VASP calculation (GGA-PBEsol) on an optimized crystal structure of TcHgP2.

a b c (Å): 3.3030 4.4548 4.6206
angles (deg): 90.00 91.32 90.00
Element x y z (fractional)
P: 0.2560 0.0000 0.1544
P: 0.7440 0.0000 0.8456
Hg: 0.0000 0.5000 0.5000
Tc: 0.5000 0.5000 0.0000

Computed properties:
**Energy of formation**: 0.273 eV/atom

---

8.
VASP calculation (GGA-PBEsol) on an optimized crystal structure of TcHgP2.

a b c (Å): 3.7617 3.7617 5.0807
angles (deg): 111.73 111.73 90.00
Element x y z (fractional)
Tc: 0.5000 0.5000 0.0000
P: 0.0000 0.0000 0.0000
P: 0.7500 0.2500 0.5000
Hg: 0.2500 0.7500 0.5000

Computed properties:
**Energy of formation**: 0.612 eV/atom

---

9.
VASP calculation (GGA-PBEsol) on an optimized crystal structure of TcHgP2.

a b c (Å): 2.8189 4.8322 5.8996
angles (deg): 114.18 103.82 90.00
Element x y z (fractional)
Tc: 0.5000 0.0000 0.0000
P: 0.1849 0.1849 0.3697
P: 0.8151 0.8151 0.6303
Hg: 0.0000 0.5000 0.0000

Computed properties:
**Energy of formation**: 0.264 eV/atom

---

10.
VASP calculation (GGA-PBEsol) on an optimized crystal structure of Tc2HgP.

a b c (Å): 2.9998 4.3543 4.7125
angles (deg): 90.00 90.00 90.00
Element x y z (fractional)
Hg: 0.5000 0.5000 0.0000
P: 0.0000 0.5000 0.5000
Tc: 0.0000 0.0000 0.0000
Tc: 0.5000 0.0000 0.5000

Computed properties:
**Energy above the most stable polymorph in this dataset**: 0.630 eV/atom
**Energy of formation**: 0.682 eV/atom

---

11.
VASP calculation (GGA-PBEsol) on an optimized crystal structure of HgTeP2.

a b c (Å): 3.7886 3.7886 6.5643
angles (deg): 106.77 106.77 90.00
Element x y z (fractional)
P: 0.7500 0.2500 0.5000
P: 0.0000 0.0000 0.0000
Hg: 0.2500 0.7500 0.5000
Te: 0.5000 0.5000 0.0000

Computed properties:
**Energy above the most stable polymorph in this dataset**: 0.476 eV/atom
**Formation energy (no corrections)**: 0.605 eV per atom

---

12.
VASP calculation (GGA-PBEsol) on an optimized crystal structure of HgTeP2.

a b c (Å): 3.2965 3.2965 9.4374
angles (deg): 79.94 79.94 60.00
Element x y z (fractional)
Te: 0.4881 0.4881 0.5356
Hg: 0.2612 0.2612 0.2164
P: 0.0200 0.0200 0.9401
P: 0.7307 0.7307 0.8079

Computed properties:
**Energy above the most stable polymorph in this dataset**: 0.000 eV/atom
**Formation energy (no corrections)**: 0.129 eV per atom

---

Number 2 is which compound?
TcHgP2